# 1
Computed, not measured: a relaxed Sm3Pd crystal at the GGA-PBEsol level of DFT.

Output
Fermi-level density of states, states/eV/cell: 5.3
Magnetic moment, μB/f.u.: 0.0
E_tot, eV for the cell shown: -21.83
Calculated volume, Å³/atom: 25.5

Cell: 4.380 4.380 6.158 Å, 110.83 110.83 90.00°
Atoms (fractional coordinates):
1 Sm 0.500 0.500 0.000
2 Sm 0.750 0.250 0.500
3 Sm 0.250 0.750 0.500
4 Pd 0.000 0.000 0.000


# 2
Computed, not measured: a relaxed SnPd2 crystal at the GGA-PBEsol level of DFT.

Output
Fermi-level density of states, states/eV/cell: 4.7
Magnetic moment, μB/f.u.: 0.0
E_tot, eV for the cell shown: -71.50
Calculated volume, Å³/atom: 16.4

Cell: 4.333 5.596 8.100 Å, 90.00 90.00 90.00°
Atoms (fractional coordinates):
1 Pd 0.250 0.174 0.559
2 Sn 0.250 0.201 0.888
3 Pd 0.750 0.449 0.711
4 Sn 0.250 0.701 0.612
5 Pd 0.750 0.826 0.441
6 Pd 0.750 0.326 0.059
7 Pd 0.250 0.674 0.941
8 Pd 0.250 0.551 0.289
9 Pd 0.750 0.949 0.789
10 Sn 0.750 0.799 0.112
11 Pd 0.250 0.051 0.211
12 Sn 0.750 0.299 0.388


# 3
Computed, not measured: a relaxed Sn4Pd crystal at the GGA-PBEsol level of DFT.

Output
Fermi-level density of states, states/eV/cell: 3.5
Magnetic moment, μB/f.u.: 0.0
E_tot, eV for the cell shown: -48.74
Calculated volume, Å³/atom: 23.4

Cell: 6.392 6.414 6.538 Å, 60.63 90.00 90.00°
Atoms (fractional coordinates):
1 Sn 0.670 0.459 0.747
2 Sn 0.670 0.541 0.253
3 Sn 0.330 0.794 0.747
4 Sn 0.830 0.959 0.747
5 Pd 0.500 0.000 0.000
6 Sn 0.170 0.706 0.253
7 Pd 0.000 0.500 0.000
8 Sn 0.830 0.041 0.253
9 Sn 0.330 0.206 0.253
10 Sn 0.170 0.294 0.747


# 4
Computed, not measured: a relaxed Sn7Pd5 crystal at the GGA-PBEsol level of DFT.

Output
Fermi-level density of states, states/eV/cell: 4.0
Magnetic moment, μB/f.u.: 0.0
E_tot, eV for the cell shown: -64.98
Calculated volume, Å³/atom: 20.8

Cell: 4.320 6.850 9.543 Å, 110.23 90.00 108.38°
Atoms (fractional coordinates):
1 Pd 0.132 0.257 0.804
2 Pd 0.875 0.743 0.196
3 Sn 0.230 0.458 0.118
4 Pd 0.876 0.769 0.681
5 Sn 0.773 0.542 0.882
6 Sn 0.499 0.987 0.175
7 Pd 0.108 0.231 0.319
8 Sn 0.742 0.510 0.381
9 Sn 0.187 0.000 0.500
10 Sn 0.232 0.490 0.619
11 Sn 0.512 0.013 0.825
12 Pd 0.013 0.000 0.000


# 5
Computed, not measured: a relaxed Sn2Pd crystal at the GGA-PBEsol level of DFT.

Output
Fermi-level density of states, states/eV/cell: 9.5
Magnetic moment, μB/f.u.: 0.0
E_tot, eV for the cell shown: -126.02
Calculated volume, Å³/atom: 21.3

Cell: 6.479 6.479 13.011 Å, 104.42 104.42 90.00°
Atoms (fractional coordinates):
1 Sn 0.375 0.872 0.250
2 Sn 0.375 0.372 0.250
3 Sn 0.628 0.125 0.750
4 Sn 0.092 0.408 0.500
5 Sn 0.408 0.092 0.500
6 Sn 0.875 0.378 0.250
7 Pd 0.558 0.558 0.116
8 Pd 0.308 0.808 0.616
9 Sn 0.908 0.908 0.500
10 Sn 0.158 0.342 0.000
11 Pd 0.942 0.942 0.884
12 Sn 0.875 0.878 0.250
13 Pd 0.058 0.058 0.116
14 Sn 0.622 0.625 0.750
15 Pd 0.692 0.192 0.384
16 Sn 0.128 0.125 0.750
17 Sn 0.658 0.158 0.000
18 Sn 0.122 0.625 0.750
19 Sn 0.842 0.658 0.000
20 Sn 0.592 0.592 0.500
21 Pd 0.192 0.692 0.384
22 Pd 0.442 0.442 0.884
23 Pd 0.808 0.308 0.616
24 Sn 0.342 0.842 0.000


# 6
Computed, not measured: a relaxed SrSn3Pd crystal at the GGA-PBEsol level of DFT.

Output
Fermi-level density of states, states/eV/cell: 1.9
Magnetic moment, μB/f.u.: 0.0
E_tot, eV for the cell shown: -23.62
Calculated volume, Å³/atom: 25.6

Cell: 4.786 4.786 6.529 Å, 111.50 111.50 90.00°
Atoms (fractional coordinates):
1 Sn 0.746 0.246 0.492
2 Pd 0.642 0.642 0.284
3 Sn 0.246 0.746 0.492
4 Sn 0.411 0.411 0.822
5 Sr 0.996 0.996 0.992


# 7
Computed, not measured: a relaxed SrSn3Pd crystal at the GGA-PBEsol level of DFT.

Output
Fermi-level density of states, states/eV/cell: 3.7
Magnetic moment, μB/f.u.: 0.0
E_tot, eV for the cell shown: -13.93
Calculated volume, Å³/atom: 37.4

Cell: 5.716 5.716 5.716 Å, 90.00 90.00 90.00°
Atoms (fractional coordinates):
1 Sn 0.000 0.500 0.000
2 Sr 0.000 0.000 0.000
3 Sn 0.500 0.000 0.000
4 Pd 0.500 0.500 0.500
5 Sn 0.000 0.000 0.500


# 8
Computed, not measured: a relaxed TaSn3Pd crystal at the GGA-PBEsol level of DFT.

Output
Fermi-level density of states, states/eV/cell: 5.2
Magnetic moment, μB/f.u.: 0.0
E_tot, eV for the cell shown: -26.73
Calculated volume, Å³/atom: 25.1

Cell: 5.007 5.007 5.007 Å, 90.00 90.00 90.00°
Atoms (fractional coordinates):
1 Sn 0.500 0.000 0.000
2 Sn 0.000 0.000 0.500
3 Pd 0.000 0.000 0.000
4 Ta 0.500 0.500 0.500
5 Sn 0.000 0.500 0.000


# 9
Computed, not measured: a relaxed TbSnPd crystal at the GGA-PBEsol level of DFT.

Output
Fermi-level density of states, states/eV/cell: 6.3
Magnetic moment, μB/f.u.: 0.0
E_tot, eV for the cell shown: -72.42
Calculated volume, Å³/atom: 21.4

Cell: 4.587 7.133 7.853 Å, 90.00 90.00 90.00°
Atoms (fractional coordinates):
1 Sn 0.750 0.192 0.413
2 Tb 0.750 0.510 0.704
3 Tb 0.750 0.010 0.796
4 Pd 0.250 0.206 0.584
5 Pd 0.250 0.706 0.916
6 Sn 0.250 0.308 0.913
7 Tb 0.250 0.990 0.204
8 Sn 0.750 0.692 0.087
9 Sn 0.250 0.808 0.587
10 Pd 0.750 0.294 0.084
11 Tb 0.250 0.490 0.296
12 Pd 0.750 0.794 0.416


# 10
Computed, not measured: a relaxed SnTe2Pd crystal at the GGA-PBEsol level of DFT.

Output
Fermi-level density of states, states/eV/cell: 2.7
E_form (uncorrected), eV/atom: -0.084
Magnetic moment, μB/f.u.: 0.0
Calculated volume, Å³/atom: 28.4

Cell: 3.787 3.787 9.413 Å, 78.40 78.40 60.00°
Atoms (fractional coordinates):
1 Te 0.111 0.111 0.666
2 Sn 0.000 0.000 0.000
3 Te 0.889 0.889 0.334
4 Pd 0.500 0.500 0.500


# 11
Computed, not measured: a relaxed SnTe2Pd6 crystal at the GGA-PBEsol level of DFT.

Output
Fermi-level density of states, states/eV/cell: 3.5
E_form (uncorrected), eV/atom: -0.444
Magnetic moment, μB/f.u.: 0.0
Calculated volume, Å³/atom: 18.4

Cell: 4.008 4.008 10.676 Å, 100.82 100.82 90.00°
Atoms (fractional coordinates):
1 Pd 0.403 0.903 0.807
2 Pd 0.594 0.094 0.189
3 Pd 0.498 0.498 0.997
4 Pd 0.094 0.594 0.189
5 Te 0.684 0.684 0.368
6 Pd 0.197 0.197 0.394
7 Pd 0.903 0.403 0.807
8 Sn 0.001 0.001 0.001
9 Te 0.322 0.322 0.644


# 12
Computed, not measured: a relaxed SnTe2Pd crystal at the GGA-PBEsol level of DFT.

Output
Fermi-level density of states, states/eV/cell: 2.5
E_form (uncorrected), eV/atom: 0.154
Magnetic moment, μB/f.u.: 0.0
Calculated volume, Å³/atom: 24.6

Cell: 3.195 3.195 11.281 Å, 81.86 81.86 60.00°
Atoms (fractional coordinates):
1 Te 0.923 0.923 0.230
2 Pd 0.000 0.000 0.000
3 Sn 0.500 0.500 0.500
4 Te 0.077 0.077 0.770


# 13
Computed, not measured: a relaxed TiSn2Pd2 crystal at the GGA-PBEsol level of DFT.

Output
Fermi-level density of states, states/eV/cell: 4.7
Magnetic moment, μB/f.u.: 0.0
E_tot, eV for the cell shown: -29.76
Calculated volume, Å³/atom: 19.0

Cell: 3.912 3.912 6.805 Å, 106.71 106.71 90.00°
Atoms (fractional coordinates):
1 Pd 0.750 0.250 0.500
2 Sn 0.609 0.609 0.217
3 Sn 0.391 0.391 0.783
4 Pd 0.250 0.750 0.500
5 Ti 0.000 0.000 0.000


# 14
Computed, not measured: a relaxed Ti2SnPd2 crystal at the GGA-PBEsol level of DFT.

Output
Fermi-level density of states, states/eV/cell: 4.7
Magnetic moment, μB/f.u.: 0.0
E_tot, eV for the cell shown: -34.04
Calculated volume, Å³/atom: 18.4

Cell: 4.149 4.149 6.101 Å, 109.88 109.88 90.00°
Atoms (fractional coordinates):
1 Pd 0.617 0.617 0.233
2 Pd 0.383 0.383 0.767
3 Sn 0.000 0.000 0.000
4 Ti 0.750 0.250 0.500
5 Ti 0.250 0.750 0.500


# 15
Computed, not measured: a relaxed Tl3SnPd crystal at the GGA-PBEsol level of DFT.

Output
Fermi-level density of states, states/eV/cell: 3.5
Magnetic moment, μB/f.u.: 0.0
E_tot, eV for the cell shown: -17.37
Calculated volume, Å³/atom: 28.5

Cell: 5.224 5.224 5.224 Å, 90.00 90.00 90.00°
Atoms (fractional coordinates):
1 Tl 0.000 0.000 0.500
2 Tl 0.500 0.000 0.000
3 Sn 0.500 0.500 0.500
4 Pd 0.000 0.000 0.000
5 Tl 0.000 0.500 0.000


# 16
Computed, not measured: a relaxed TmSnPd2 crystal at the GGA-PBEsol level of DFT.

Output
Fermi-level density of states, states/eV/cell: 1.8
Magnetic moment, μB/f.u.: 0.0
E_tot, eV for the cell shown: -24.75
Calculated volume, Å³/atom: 18.2

Cell: 4.688 4.688 4.688 Å, 60.00 60.00 60.00°
Atoms (fractional coordinates):
1 Tm 0.500 0.500 0.500
2 Pd 0.750 0.750 0.750
3 Sn 0.000 0.000 0.000
4 Pd 0.250 0.250 0.250


# 17
Computed, not measured: a relaxed YTm3Sn4Pd8 crystal at the GGA-PBEsol level of DFT.

Output
Fermi-level density of states, states/eV/cell: 7.1
Magnetic moment, μB/f.u.: 0.0
E_tot, eV for the cell shown: -100.83
Calculated volume, Å³/atom: 18.3

Cell: 4.687 4.687 15.663 Å, 81.39 81.39 60.00°
Atoms (fractional coordinates):
1 Tm 0.251 0.251 0.248
2 Y 0.500 0.500 0.500
3 Pd 0.687 0.687 0.939
4 Sn 0.875 0.875 0.375
5 Pd 0.563 0.563 0.311
6 Pd 0.190 0.190 0.429
7 Pd 0.938 0.938 0.186
8 Sn 0.625 0.625 0.125
9 Pd 0.810 0.810 0.571
10 Pd 0.313 0.313 0.061
11 Pd 0.437 0.437 0.689
12 Tm 0.749 0.749 0.752
13 Tm 0.000 0.000 0.000
14 Pd 0.062 0.062 0.814
15 Sn 0.375 0.375 0.875
16 Sn 0.125 0.125 0.625


# 18
Computed, not measured: a relaxed Sn3PdW crystal at the GGA-PBEsol level of DFT.

Output
Fermi-level density of states, states/eV/cell: 3.9
Magnetic moment, μB/f.u.: 0.0
E_tot, eV for the cell shown: -28.65
Calculated volume, Å³/atom: 27.2

Cell: 5.144 5.144 5.144 Å, 90.00 90.00 90.00°
Atoms (fractional coordinates):
1 Sn 0.000 0.500 0.000
2 Sn 0.000 0.000 0.500
3 W 0.000 0.000 0.000
4 Sn 0.500 0.000 0.000
5 Pd 0.500 0.500 0.500


# 19
Computed, not measured: a relaxed SnPdW3 crystal at the GGA-PBEsol level of DFT.

Output
Fermi-level density of states, states/eV/cell: 4.9
Magnetic moment, μB/f.u.: 0.0
E_tot, eV for the cell shown: -40.80
Calculated volume, Å³/atom: 20.7

Cell: 4.696 4.696 4.696 Å, 90.00 90.00 90.00°
Atoms (fractional coordinates):
1 W 0.000 0.000 0.500
2 Sn 0.500 0.500 0.500
3 Pd 0.000 0.000 0.000
4 W 0.500 0.000 0.000
5 W 0.000 0.500 0.000


# 20
Computed, not measured: a relaxed ZnSn2Pd2 crystal at the GGA-PBEsol level of DFT.

Output
Fermi-level density of states, states/eV/cell: 2.0
Magnetic moment, μB/f.u.: 0.0
E_tot, eV for the cell shown: -22.57
Calculated volume, Å³/atom: 19.9

Cell: 3.883 3.883 7.142 Å, 105.77 105.77 90.00°
Atoms (fractional coordinates):
1 Pd 0.250 0.750 0.500
2 Pd 0.750 0.250 0.500
3 Zn 0.000 0.000 0.000
4 Sn 0.610 0.610 0.220
5 Sn 0.390 0.390 0.780


# 21
Computed, not measured: a relaxed Zn2SnPd crystal at the GGA-PBEsol level of DFT.

Output
Fermi-level density of states, states/eV/cell: 1.6
Magnetic moment, μB/f.u.: 0.0
E_tot, eV for the cell shown: -13.63
Calculated volume, Å³/atom: 16.5

Cell: 4.538 4.538 4.538 Å, 60.00 60.00 60.00°
Atoms (fractional coordinates):
1 Zn 0.750 0.750 0.750
2 Zn 0.250 0.250 0.250
3 Pd 0.000 0.000 0.000
4 Sn 0.500 0.500 0.500


# 22
Computed, not measured: a relaxed Zr2SnPd2 crystal at the GGA-PBEsol level of DFT.

Output
Fermi-level density of states, states/eV/cell: 3.9
Magnetic moment, μB/f.u.: 0.0
E_tot, eV for the cell shown: -35.88
Calculated volume, Å³/atom: 21.2

Cell: 4.448 4.448 6.210 Å, 110.99 110.99 90.00°
Atoms (fractional coordinates):
1 Zr 0.750 0.250 0.500
2 Pd 0.385 0.385 0.769
3 Zr 0.250 0.750 0.500
4 Pd 0.615 0.615 0.231
5 Sn 0.000 0.000 0.000


# 23
Computed, not measured: a relaxed Zr3SnPd crystal at the GGA-PBEsol level of DFT.

Output
Fermi-level density of states, states/eV/cell: 8.3
Magnetic moment, μB/f.u.: 0.0
E_tot, eV for the cell shown: -32.10
Calculated volume, Å³/atom: 27.6

Cell: 5.167 5.167 5.167 Å, 90.00 90.00 90.00°
Atoms (fractional coordinates):
1 Zr 0.000 0.500 0.000
2 Sn 0.000 0.000 0.000
3 Zr 0.500 0.000 0.000
4 Pd 0.500 0.500 0.500
5 Zr 0.000 0.000 0.500


# 24
Computed, not measured: a relaxed SrPd2 crystal at the GGA-PBEsol level of DFT.

Output
Fermi-level density of states, states/eV/cell: 2.9
Magnetic moment, μB/f.u.: 0.0
E_tot, eV for the cell shown: -31.23
Calculated volume, Å³/atom: 19.6

Cell: 5.497 5.497 5.497 Å, 60.00 60.00 60.00°
Atoms (fractional coordinates):
1 Pd 0.125 0.125 0.625
2 Pd 0.125 0.625 0.125
3 Sr 0.750 0.750 0.750
4 Sr 0.500 0.500 0.500
5 Pd 0.625 0.125 0.125
6 Pd 0.125 0.125 0.125


# 25
Computed, not measured: a relaxed SrTaPd2 crystal at the GGA-PBEsol level of DFT.

Output
Fermi-level density of states, states/eV/cell: 3.6
Magnetic moment, μB/f.u.: 0.0
E_tot, eV for the cell shown: -25.62
Calculated volume, Å³/atom: 19.2

Cell: 4.770 4.770 4.770 Å, 60.00 60.00 60.00°
Atoms (fractional coordinates):
1 Sr 0.000 0.000 0.000
2 Pd 0.750 0.750 0.750
3 Ta 0.500 0.500 0.500
4 Pd 0.250 0.250 0.250


# 26
Computed, not measured: a relaxed SrTa2TcPd crystal at the GGA-PBEsol level of DFT.

Output
Fermi-level density of states, states/eV/cell: 5.6
Magnetic moment, μB/f.u.: 1.4
E_tot, eV for the cell shown: -35.41
Calculated volume, Å³/atom: 24.5

Cell: 4.814 4.814 5.280 Å, 90.00 90.00 90.00°
Atoms (fractional coordinates):
1 Sr 0.000 0.000 0.500
2 Ta 0.000 0.500 0.000
3 Tc 0.500 0.500 0.500
4 Pd 0.000 0.000 0.000
5 Ta 0.500 0.000 0.000